(1)
Density functional theory data (PBE-GGA) for crystalline Hf2HRu at its relaxed geometry.

extended XYZ file:
```
4
Lattice="0.000 3.164 3.164 3.164 0.000 3.164 3.164 3.164 0.000" Properties=species:S:1:pos:R:3 pbc="T T T"
Hf 1.582 1.582 1.582
Hf 4.746 4.746 4.746
H 0.000 0.000 0.000
Ru 3.164 3.164 3.164
```

Results
The density of states at the Fermi level is 3.4 states/eV/f.u. As for the energy above the lowest structure with this stoichiometry: 435.7 meV per atom. For the size of the total moment, the calculation gives 0.0 μB per cell.

(2)
Density functional theory data (PBE-GGA) for crystalline PaCrCo2H6 at its relaxed geometry.

extended XYZ file:
```
10
Lattice="2.157 1.246 4.658 -2.157 1.246 4.658 0.000 -2.491 4.658" Properties=species:S:1:pos:R:3 pbc="T T T"
Pa 0.000 0.000 0.000
Cr 0.000 0.000 6.987
Co 0.000 0.000 2.770
Co 0.000 0.000 11.205
H -0.994 -0.574 5.645
H 0.000 -1.148 8.330
H -0.994 0.574 8.330
H 0.994 -0.574 5.645
H 0.000 1.148 5.645
H 0.994 0.574 8.330
```

Results
The density of states at the Fermi level is 6.0 states/eV/f.u. For the raw total energy, the calculation gives -55.6 eV/f.u. For the size of the total moment, the calculation gives 0.6 μB per cell.

(3)
Density functional theory data (PBE-GGA) for crystalline La12SmNi6 at its relaxed geometry.

extended XYZ file:
```
19
Lattice="-5.155 5.155 5.155 5.155 -5.155 5.155 5.155 5.155 -5.155" Properties=species:S:1:pos:R:3 pbc="T T T"
La 5.155 3.250 -1.924
La 3.231 0.000 1.906
La 7.079 0.000 1.906
La 1.906 3.231 0.000
La 3.250 -1.924 5.155
La 0.000 1.906 3.231
La 5.155 3.250 1.924
La 1.906 7.079 0.000
La 3.250 1.924 5.155
La -1.924 5.155 3.250
La 1.924 5.155 3.250
La 0.000 1.906 7.079
Sm 0.000 0.000 0.000
Ni 5.155 1.273 0.000
Ni 5.155 0.000 3.883
Ni 3.883 5.155 0.000
Ni 1.273 0.000 5.155
Ni 0.000 5.155 1.273
Ni 0.000 3.883 5.155
```

Results
For the formation energy, the calculation gives -0.21 eV per atom. The density of states at the Fermi level is 23.7 states/eV/f.u. For the size of the total moment, the calculation gives 0.0 μB per cell.

(4)
Density functional theory data (PBE-GGA) for crystalline SrYS3 at its relaxed geometry.

extended XYZ file:
```
5
Lattice="5.257 0.000 0.000 0.000 5.257 0.000 0.000 0.000 5.257" Properties=species:S:1:pos:R:3 pbc="T T T"
Sr 0.000 0.000 0.000
Y 2.629 2.629 2.629
S 0.000 0.000 2.629
S 0.000 2.629 0.000
S 2.629 0.000 0.000
```

Results
The density of states at the Fermi level is 5.5 states/eV/f.u. As for the energy above the lowest structure with this stoichiometry: 1013.1 meV per atom. For the formation energy without anion corrections, the calculation gives -2.36 eV/f.u. For the size of the total moment, the calculation gives 0.0 μB per cell.

(5)
Density functional theory data (PBE-GGA) for crystalline LaTmAgOs at its relaxed geometry.

extended XYZ file:
```
4
Lattice="0.000 3.566 3.566 3.566 0.000 3.566 3.566 3.566 0.000" Properties=species:S:1:pos:R:3 pbc="T T T"
La 0.000 0.000 0.000
Tm 3.566 3.566 3.566
Ag 1.783 1.783 1.783
Os 5.349 5.349 5.349
```

Results
For the formation energy, the calculation gives -0.17 eV per atom. The density of states at the Fermi level is 2.9 states/eV/f.u. For the size of the total moment, the calculation gives 0.0 μB per cell.

(6)
Density functional theory data (PBE-GGA) for crystalline TcBCl2 at its relaxed geometry.

extended XYZ file:
```
4
Lattice="0.000 3.063 3.063 3.063 0.000 3.063 3.063 3.063 0.000" Properties=species:S:1:pos:R:3 pbc="T T T"
Tc 0.000 0.000 0.000
B 3.063 3.063 3.063
Cl 1.531 1.531 1.531
Cl 4.594 4.594 4.594
```

Results
The density of states at the Fermi level is 3.9 states/eV/f.u. As for the energy above the lowest structure with this stoichiometry: 304.7 meV per atom. For the formation energy without anion corrections, the calculation gives 5.45 eV/f.u. For the size of the total moment, the calculation gives 0.1 μB per cell.

(7)
Density functional theory data (PBE-GGA) for crystalline EuPaHgPb at its relaxed geometry.

extended XYZ file:
```
4
Lattice="0.000 3.861 3.861 3.861 0.000 3.861 3.861 3.861 0.000" Properties=species:S:1:pos:R:3 pbc="T T T"
Eu 0.000 0.000 0.000
Pa 3.861 3.861 3.861
Hg 1.930 1.930 1.930
Pb 5.791 5.791 5.791
```

Results
For the formation energy, the calculation gives -0.05 eV per atom. The density of states at the Fermi level is 9.8 states/eV/f.u. For the size of the total moment, the calculation gives 9.5 μB per cell.

(8)
Density functional theory data (PBE-GGA) for crystalline Li2Cu5As2Au3 at its relaxed geometry.

extended XYZ file:
```
12
Lattice="-1.859 1.859 13.797 1.859 -1.859 13.797 1.859 1.859 -13.797" Properties=species:S:1:pos:R:3 pbc="T T T"
Li 0.000 0.000 6.169
Li 0.000 0.000 21.425
Cu 0.000 0.000 0.000
Cu 1.859 0.000 1.972
Cu 1.859 0.000 11.825
Cu 0.000 1.859 1.972
Cu 0.000 1.859 11.825
As 0.000 0.000 3.617
As 0.000 0.000 23.977
Au 0.000 0.000 8.835
Au 0.000 0.000 13.797
Au 0.000 0.000 18.759
```

Results
For the formation energy, the calculation gives -0.05 eV per atom. The density of states at the Fermi level is 4.4 states/eV/f.u. For the size of the total moment, the calculation gives 0.0 μB per cell.

(9)
Density functional theory data (PBE-GGA) for crystalline CoCu5Pt4 at its relaxed geometry.

extended XYZ file:
```
10
Lattice="4.549 0.000 0.000 1.277 5.170 0.000 1.588 1.057 5.746" Properties=species:S:1:pos:R:3 pbc="T T T"
Co 0.000 0.000 0.000
Cu 0.639 2.585 0.000
Cu 2.903 4.746 3.482
Cu 2.900 3.293 1.127
Cu 4.514 2.934 4.619
Cu 4.510 1.481 2.264
Pt 2.222 2.185 3.495
Pt 2.226 0.742 1.131
Pt 5.188 5.485 4.615
Pt 5.192 4.042 2.250
```

Results
For the formation energy, the calculation gives -0.10 eV per atom. The density of states at the Fermi level is 9.2 states/eV/f.u. For the size of the total moment, the calculation gives 2.8 μB per cell.

(10)
Density functional theory data (PBE-GGA) for crystalline Cu4Ir3 at its relaxed geometry.

extended XYZ file:
```
7
Lattice="-1.359 1.359 12.527 1.359 -1.359 12.527 1.359 1.359 -12.527" Properties=species:S:1:pos:R:3 pbc="T T T"
Cu 0.000 0.000 1.800
Cu 0.000 0.000 9.052
Cu 0.000 0.000 16.002
Cu 0.000 0.000 23.254
Ir 0.000 0.000 5.345
Ir 0.000 0.000 12.527
Ir 0.000 0.000 19.709
```

Results
For the formation energy, the calculation gives 0.10 eV per atom. The density of states at the Fermi level is 5.6 states/eV/f.u. As for the energy above the lowest structure with this stoichiometry: 0.0 meV per atom. For the size of the total moment, the calculation gives 0.0 μB per cell.

(11)
Density functional theory data (PBE-GGA) for crystalline TbNd4Te5 at its relaxed geometry.

extended XYZ file:
```
10
Lattice="-2.228 2.228 15.970 2.228 -2.228 15.970 2.228 2.228 -15.970" Properties=species:S:1:pos:R:3 pbc="T T T"
Tb 0.000 0.000 0.000
Nd 0.000 0.000 6.168
Nd 0.000 0.000 12.659
Nd 0.000 0.000 19.281
Nd 0.000 0.000 25.773
Te 0.000 0.000 3.045
Te 0.000 0.000 9.453
Te 0.000 0.000 15.970
Te 0.000 0.000 22.488
Te 0.000 0.000 28.895
```

Results
The density of states at the Fermi level is 5.7 states/eV/f.u. For the formation energy without anion corrections, the calculation gives -14.00 eV/f.u. For the size of the total moment, the calculation gives 0.0 μB per cell.

(12)
Density functional theory data (PBE-GGA) for crystalline Ba2GaSn at its relaxed geometry.

extended XYZ file:
```
8
Lattice="6.971 0.000 0.000 0.000 4.632 0.000 -3.184 0.000 9.553" Properties=species:S:1:pos:R:3 pbc="T T T"
Ba 0.070 1.158 4.048
Ba 1.785 3.474 0.597
Ba 2.002 1.158 8.956
Ba 3.717 3.474 5.505
Ga -1.402 1.158 7.473
Ga 5.189 3.474 2.080
Sn 0.174 3.474 6.846
Sn 3.613 1.158 2.706
```

Results
For the formation energy, the calculation gives -0.54 eV per atom. The density of states at the Fermi level is 3.3 states/eV/f.u. As for the energy above the lowest structure with this stoichiometry: 0.0 meV per atom. For the size of the total moment, the calculation gives 0.7 μB per cell.

(13)
Density functional theory data (PBE-GGA) for crystalline La2SnAs2 at its relaxed geometry.

extended XYZ file:
```
10
Lattice="8.403 0.000 0.000 0.000 8.403 0.000 0.000 0.000 3.972" Properties=species:S:1:pos:R:3 pbc="T T T"
La 1.228 2.973 0.000
La 2.973 7.175 0.000
La 5.430 1.228 0.000
La 7.175 5.430 0.000
Sn 0.000 0.000 0.000
Sn 4.201 4.201 0.000
As 1.375 5.576 1.986
As 2.827 1.375 1.986
As 5.576 7.028 1.986
As 7.028 2.827 1.986
```

Results
For the formation energy, the calculation gives -0.85 eV per atom. The density of states at the Fermi level is 3.6 states/eV/f.u. As for the energy above the lowest structure with this stoichiometry: 240.9 meV per atom. For the size of the total moment, the calculation gives 0.0 μB per cell.

(14)
Density functional theory data (PBE-GGA) for crystalline RhNCl2 at its relaxed geometry.

extended XYZ file:
```
8
Lattice="6.143 0.000 0.000 0.000 3.816 0.000 -1.861 0.000 8.813" Properties=species:S:1:pos:R:3 pbc="T T T"
Rh 1.536 0.954 0.000
Rh 2.746 2.862 8.813
N 0.605 2.862 4.374
N 3.677 0.954 4.439
Cl -1.416 2.862 7.523
Cl 2.627 2.862 1.290
Cl 1.655 0.954 7.523
Cl 5.697 0.954 1.290
```

Results
The density of states at the Fermi level is 1.4 states/eV/f.u. As for the energy above the lowest structure with this stoichiometry: 758.9 meV per atom. For the formation energy without anion corrections, the calculation gives 4.33 eV/f.u. For the size of the total moment, the calculation gives 8.1 μB per cell.

(15)
Density functional theory data (PBE-GGA) for crystalline Mn2VHgN at its relaxed geometry.

extended XYZ file:
```
5
Lattice="4.478 0.000 0.000 0.000 4.478 0.000 0.000 0.000 5.206" Properties=species:S:1:pos:R:3 pbc="T T T"
Mn 0.000 2.239 0.000
Mn 2.239 0.000 0.000
V 0.000 0.000 0.000
Hg 0.000 0.000 2.603
N 2.239 2.239 2.603
```

Results
The density of states at the Fermi level is 3.7 states/eV/f.u. For the formation energy without anion corrections, the calculation gives 9.49 eV/f.u. For the size of the total moment, the calculation gives 2.6 μB per cell.

(16)
Density functional theory data (PBE-GGA) for crystalline PaH8Ir2 at its relaxed geometry.

extended XYZ file:
```
11
Lattice="3.806 -2.113 0.000 3.806 2.113 0.000 -2.654 0.000 6.338" Properties=species:S:1:pos:R:3 pbc="T T T"
Pa 0.000 0.000 0.000
H 1.809 1.177 0.995
H 1.227 0.000 3.008
H 0.961 0.000 5.325
H 3.149 1.177 5.343
H 1.809 -1.177 0.995
H 3.996 0.000 1.013
H 3.731 0.000 3.330
H 3.149 -1.177 5.343
Ir 2.556 0.000 1.884
Ir 2.402 0.000 4.455
```

Results
The density of states at the Fermi level is 5.8 states/eV/f.u. For the raw total energy, the calculation gives -54.6 eV/f.u. For the size of the total moment, the calculation gives 0.0 μB per cell.

(17)
Density functional theory data (PBE-GGA) for crystalline Nd12Ga6Pd at its relaxed geometry.

extended XYZ file:
```
19
Lattice="6.697 3.866 4.002 -6.697 3.866 4.002 0.000 -7.733 4.002" Properties=species:S:1:pos:R:3 pbc="T T T"
Nd -4.224 -4.421 6.631
Nd -5.941 1.448 5.373
Nd -1.650 -2.008 4.655
Nd 1.717 -5.869 5.373
Nd -0.914 2.433 4.655
Nd -2.564 0.425 7.350
Nd 2.564 -0.425 4.655
Nd 0.914 -2.433 7.350
Nd -1.717 5.869 6.631
Nd 1.650 2.008 7.350
Nd 5.941 -1.448 6.631
Nd 4.224 4.421 5.373
Ga -3.258 0.614 4.272
Ga 1.097 -3.129 4.272
Ga -2.161 -2.515 7.733
Ga 2.161 2.515 4.272
Ga -1.097 3.129 7.733
Ga 3.258 -0.614 7.733
Pd 0.000 0.000 0.000
```

Results
For the formation energy, the calculation gives -0.22 eV per atom. The density of states at the Fermi level is 26.5 states/eV/f.u. For the size of the total moment, the calculation gives 0.0 μB per cell.

(18)
Density functional theory data (PBE-GGA) for crystalline Sc2TaCo9 at its relaxed geometry.

extended XYZ file:
```
12
Lattice="2.371 1.369 7.946 -2.371 1.369 7.946 0.000 -2.738 7.946" Properties=species:S:1:pos:R:3 pbc="T T T"
Sc 0.000 0.000 3.315
Sc 0.000 0.000 20.524
Ta 0.000 0.000 0.000
Co -1.197 -0.691 9.904
Co 0.000 0.000 7.977
Co 0.000 -1.382 13.935
Co -1.197 0.691 13.935
Co 0.000 0.000 11.920
Co 1.197 -0.691 9.904
Co 0.000 1.382 9.904
Co 0.000 0.000 15.862
Co 1.197 0.691 13.935
```

Results
For the formation energy, the calculation gives -0.17 eV per atom. The density of states at the Fermi level is 15.6 states/eV/f.u. For the size of the total moment, the calculation gives 9.2 μB per cell.

(19)
Density functional theory data (PBE-GGA) for crystalline Ho2Mg at its relaxed geometry.

extended XYZ file:
```
6
Lattice="3.612 0.000 0.000 0.000 3.612 0.000 0.000 0.000 13.085" Properties=species:S:1:pos:R:3 pbc="T T T"
Ho 0.000 0.000 0.000
Ho 0.000 0.000 4.119
Ho 0.000 0.000 8.965
Ho 1.806 1.806 6.542
Mg 1.806 1.806 2.032
Mg 1.806 1.806 11.053
```

Results
For the formation energy, the calculation gives -0.04 eV per atom. The density of states at the Fermi level is 3.8 states/eV/f.u. For the size of the total moment, the calculation gives 0.0 μB per cell.

(20)
Density functional theory data (PBE-GGA) for crystalline Pu3ZnRh2 at its relaxed geometry.

extended XYZ file:
```
6
Lattice="2.384 -7.005 0.000 2.384 7.005 0.000 0.000 0.000 3.721" Properties=species:S:1:pos:R:3 pbc="T T T"
Pu 0.000 0.000 0.000
Pu 2.384 2.597 0.000
Pu 2.384 -2.597 0.000
Zn 2.384 0.000 1.861
Rh 2.384 4.972 1.861
Rh 2.384 -4.972 1.861
```

Results
For the formation energy, the calculation gives -0.25 eV per atom. The density of states at the Fermi level is 25.4 states/eV/f.u. As for the energy above the lowest structure with this stoichiometry: 73.8 meV per atom. For the size of the total moment, the calculation gives 5.6 μB per cell.